DFT (PBE) results for a geometry-optimized Si4IrBr structure.

* formation energy from raw total energies: 81 kJ/mol of atoms
* total magnetization: 0.000 μB/f.u.
* DOS at the Fermi energy: 2.14 states/eV/f.u.

The structure in POSCAR format:
```
Si4IrBr
1.0
0.000 3.675 3.675
3.675 0.000 3.675
3.675 3.675 0.000
Si Ir Br
4 1 1
Direct
0.125 0.125 0.125
0.125 0.125 0.626
0.125 0.626 0.125
0.626 0.125 0.125
0.500 0.500 0.500
0.750 0.750 0.750
```